A plane-wave DFT calculation with PBE was carried out for a geometry-optimized Ho2TmThP4 structure.

Computed properties:
Calculated volume, A^3/atom: 22.98
Total DFT energy (no corrections), eV/atom: -6.94
Spin magnetization, μB/cell: 0.000
Formation energy, meV/atom: -1605.4

a = 4.028 Å, b = 6.961 Å, c = 6.954 Å
α = 70.52°, β = 90.00°, γ = 90.00°
Element x y z (fractional)
Ho 0.500 0.000 0.500
Ho 0.000 0.000 0.000
P 0.500 0.249 0.746
P 0.500 0.751 0.254
P 0.000 0.755 0.743
P 0.000 0.245 0.257
Tm 0.000 0.500 0.500
Th 0.500 0.500 0.000